5
Lattice="-3.727 -1.907 -1.231 2.254 -2.838 -2.431 1.036 -0.729 5.730" Properties=species:S:1:pos:R:3 comment="PBEsol EuGe3Rh, relaxed" energy_ev_per_fu=-37.01 magmom_total_mub_per_fu=6.8 pbc="T T T"
Ge -1.714 -2.501 1.330
Ge 1.277 -2.966 0.730
Ge -0.682 -2.938 -1.120
Eu 0.005 -0.048 0.061
Rh 0.212 -2.196 2.761

5
Lattice="4.225 0.000 0.000 0.000 4.225 0.000 -2.113 -2.113 5.023" Properties=species:S:1:pos:R:3 comment="PBEsol EuGe2Ru2, relaxed" energy_ev_per_fu=-43.59 magmom_total_mub_per_fu=6.9 pbc="T T T"
Eu 0.000 0.000 0.000
Ru 0.000 2.113 2.512
Ge 2.113 2.113 1.330
Ge 0.000 0.000 3.693
Ru 2.113 0.000 2.512

12
Lattice="-4.720 -1.630 -3.312 3.725 -1.222 -4.532 1.172 -5.392 6.316" Properties=species:S:1:pos:R:3 comment="PBEsol Eu2ZnGe3, relaxed" energy_ev_per_fu=-41.22 magmom_total_mub_per_fu=14.0 pbc="T T T"
Zn -0.273 -3.692 -3.127
Eu -2.684 -1.532 -3.606
Ge -0.627 -3.274 -5.435
Ge -0.051 -5.941 -2.337
Ge 0.228 -2.304 0.809
Eu -2.023 -4.224 -0.459
Ge -0.140 -1.880 -1.601
Ge 0.318 -6.365 0.073
Zn 0.451 -4.553 1.598
Ge 0.804 -4.970 3.907
Eu 2.200 -4.020 -1.069
Eu 1.689 -1.321 -4.238

9
Lattice="5.194 0.000 0.000 2.597 4.498 0.000 2.597 1.499 4.241" Properties=species:S:1:pos:R:3 comment="PBEsol Eu2H6Ir, relaxed" energy_ev_per_fu=-56.21 magmom_total_mub_per_fu=14.2 pbc="T T T"
H 6.574 3.796 0.993
Eu 7.791 4.498 3.181
H 5.194 4.592 3.247
H 3.814 3.796 0.993
H 5.194 1.405 0.993
Eu 2.597 1.499 1.060
H 3.814 2.202 3.247
H 6.574 2.202 3.247
Ir 0.000 0.000 0.000

76
Lattice="5.947 0.000 0.000 0.000 13.260 0.000 0.000 0.000 13.529" Properties=species:S:1:pos:R:3 comment="PBEsol K3EuSi3H2O10, relaxed" energy_ev_per_fu=-135.89 magmom_total_mub_per_fu=6.0 pbc="T T T"
Si 5.420 5.345 8.112
O 5.449 4.913 6.497
O 5.168 7.015 5.030
Eu 3.462 7.168 3.382
O 4.891 12.729 8.446
O 3.471 11.543 0.268
O 0.498 8.347 13.261
Si 2.446 1.285 1.347
O 5.594 11.547 3.382
K 2.552 11.558 3.382
K 0.512 11.442 6.526
O 1.037 10.532 10.147
O 3.406 10.481 11.466
K 5.435 1.819 13.290
O 5.515 3.851 11.466
O 2.476 1.717 13.261
Si 5.420 5.345 12.182
O 3.471 11.543 6.497
Si 5.511 9.943 3.382
O 2.195 12.876 11.794
O 0.498 8.347 7.032
O 4.909 2.729 3.382
Si 3.501 11.975 12.182
K 2.461 4.811 6.526
Eu 5.458 0.538 3.382
O 4.029 6.098 8.446
O 0.432 9.409 4.702
O 2.195 12.876 8.499
O 0.779 6.246 11.794
O 5.449 4.913 0.268
O 4.029 6.098 11.847
O 5.168 7.015 1.735
H 5.290 5.732 0.883
O 2.541 2.779 2.063
Si 0.436 3.317 10.147
O 4.891 12.729 11.847
O 3.752 0.384 5.030
H 0.657 7.529 7.648
K 3.486 8.449 13.290
H 5.290 5.732 5.881
Eu 2.484 6.092 10.147
K 5.525 8.332 10.147
O 1.056 0.532 1.681
Si 0.527 7.915 5.417
O 3.752 0.384 1.735
K 2.461 4.811 0.239
K 3.486 8.449 7.003
O 3.327 4.917 3.382
Eu 0.489 12.722 10.147
O 1.917 7.162 5.083
K 5.435 1.819 7.003
H 2.316 0.899 7.648
H 3.630 12.362 5.881
O 0.432 9.409 2.063
K 0.512 11.442 0.239
H 3.630 12.362 0.883
O 2.541 2.779 4.702
Si 2.537 9.948 10.147
O 2.620 8.344 10.147
K 3.395 1.702 10.147
H 0.657 7.529 12.646
Si 0.527 7.915 1.347
Si 3.501 11.975 8.112
O 2.476 1.717 7.032
K 0.422 4.928 3.382
H 2.316 0.899 12.646
Si 3.410 3.313 3.382
Si 2.446 1.285 5.417
O 4.011 9.359 3.382
O 0.779 6.246 8.499
O 1.917 7.162 1.681
O 0.353 1.713 10.147
O 1.056 0.532 5.083
O 3.406 10.481 8.827
O 5.515 3.851 8.827
O 1.936 3.902 10.147

9
Lattice="3.669 0.000 0.000 0.000 3.669 0.000 0.000 0.000 7.969" Properties=species:S:1:pos:R:3 comment="PBEsol EuMg2H6, relaxed" energy_ev_per_fu=-36.95 magmom_total_mub_per_fu=7.0 pbc="T T T"
H 1.835 0.000 6.371
H 1.835 0.000 1.598
Mg 1.835 1.835 5.790
Mg 1.835 1.835 2.179
H 1.835 1.835 0.000
H 0.000 1.835 1.598
H 0.000 1.835 6.371
Eu 0.000 0.000 0.000
H 1.835 1.835 3.984